BaSr4Eu PBE-GGA relaxed; ΔE_f = 100 meV/atom
1.0
0.000 5.580 5.580
5.580 0.000 5.580
5.580 5.580 0.000
Ba Sr Eu
1 4 1
Direct
0.000 0.000 0.000
0.126 0.625 0.625
0.625 0.126 0.625
0.625 0.625 0.126
0.625 0.625 0.625
0.250 0.250 0.250

=====

Cr4Ni PBE-GGA relaxed; excess energy over the best structure of this formula in the dataset = 1274 meV/atom; ΔE_f = 1287 meV/atom
1.0
-2.602 2.602 2.602
2.602 -2.602 2.602
2.602 2.602 -2.602
Cr Ni
4 1
Direct
0.000 0.000 0.500
0.000 0.500 0.000
0.500 0.000 0.000
0.500 0.500 0.500
0.000 0.000 0.000

=====

InTe2As PBE-GGA relaxed; ΔE_f (raw) = 241 meV/atom; excess energy over the best structure of this formula in the dataset = 337 meV/atom
1.0
3.715 0.000 0.000
0.000 5.281 0.000
0.000 0.000 5.325
In Te As
1 2 1
Direct
0.000 0.000 0.000
0.000 0.500 0.500
0.500 0.500 0.000
0.500 0.000 0.500

=====

NaTmSb PBE-GGA relaxed; ΔE_f (raw) = -511 meV/atom
1.0
5.097 0.000 0.000
0.000 5.097 0.000
0.000 0.000 7.406
Na Tm Sb
2 2 2
Direct
0.250 0.750 0.000
0.750 0.250 0.000
0.250 0.750 0.500
0.750 0.250 0.500
0.250 0.250 0.276
0.750 0.750 0.724